Arrangement i

# NaH5Pd4

An optimized crystal structure of NaH5Pd4 (PBE-GGA, the Alexandria database).

Unit cell a=3.232 b=5.891 c=5.866 alpha=85.65 beta=73.82 gamma=73.93
Fractional coordinates of all 10 atoms:
H1 0.231 0.107 0.389
H2 0.331 0.389 0.893
H3 0.724 0.893 0.611
H4 0.612 0.611 0.107
H5 0.230 0.501 0.499
Pd1 0.339 0.797 0.475
Pd2 0.814 0.525 0.796
Pd3 0.610 0.203 0.526
Pd4 0.135 0.475 0.205
Na1 0.973 0.000 0.000

- theoretical density (kg/m³) = 7309
- calculated volume (Å³ per cell) = 103.1

---

Arrangement ii

# NaH5Pd4

An optimized crystal structure of NaH5Pd4 (PBE-GGA, the Alexandria database).

Unit cell a=5.115 b=5.478 c=7.638 alpha=90.00 beta=90.00 gamma=90.00
Fractional coordinates of all 20 atoms:
H1 0.867 0.226 0.333
H2 0.133 0.274 0.833
H3 0.133 0.274 0.167
H4 0.867 0.774 0.667
H5 0.133 0.726 0.833
H6 0.622 0.500 0.000
H7 0.867 0.226 0.667
H8 0.133 0.726 0.167
H9 0.867 0.774 0.333
H10 0.378 0.000 0.500
Pd1 0.854 0.500 0.189
Pd2 0.854 0.500 0.811
Pd3 0.360 0.258 0.000
Pd4 0.640 0.242 0.500
Pd5 0.146 0.000 0.689
Pd6 0.360 0.742 0.000
Pd7 0.640 0.758 0.500
Pd8 0.146 0.000 0.311
Na1 0.829 0.000 0.000
Na2 0.171 0.500 0.500

- theoretical density (kg/m³) = 7040
- calculated volume (Å³ per cell) = 214.0

---

Bottom line: arrangement i, by a margin of 136 meV per atom.

---

Arrangement i

# Na3H4Pd2

An optimized crystal structure of Na3H4Pd2 (PBE-GGA, the Alexandria database).

Unit cell a=5.417 b=6.392 c=7.028 alpha=98.27 beta=99.47 gamma=97.46
Fractional coordinates of all 18 atoms:
H1 0.345 0.268 0.248
H2 0.471 0.855 0.368
H3 0.529 0.145 0.632
H4 0.159 0.462 0.937
H5 0.122 0.728 0.690
H6 0.655 0.732 0.752
H7 0.841 0.538 0.063
H8 0.878 0.272 0.310
Na1 0.263 0.397 0.575
Na2 0.468 0.755 0.022
Na3 0.938 0.058 0.753
Na4 0.737 0.603 0.425
Na5 0.062 0.942 0.247
Na6 0.532 0.245 0.978
Pd1 0.384 0.873 0.619
Pd2 0.080 0.386 0.154
Pd3 0.616 0.127 0.381
Pd4 0.920 0.614 0.846

- theoretical density (kg/m³) = 4046
- calculated volume (Å³ per cell) = 234.6

---

Arrangement ii

# Na3H4Pd2

An optimized crystal structure of Na3H4Pd2 (PBE-GGA, the Alexandria database).

Unit cell a=3.653 b=5.654 c=8.283 alpha=129.93 beta=90.00 gamma=108.85
Fractional coordinates of all 9 atoms:
H1 0.275 0.549 0.861
H2 0.245 0.489 0.406
H3 0.725 0.451 0.139
H4 0.755 0.511 0.594
Na1 0.000 0.000 0.000
Na2 0.582 0.164 0.740
Na3 0.418 0.836 0.260
Pd1 0.756 0.513 0.373
Pd2 0.244 0.487 0.627

- theoretical density (kg/m³) = 3990
- calculated volume (Å³ per cell) = 119.0

---

Bottom line: arrangement ii, by a margin of 19 meV per atom.

---

Arrangement i

# Na3H3Pd2

An optimized crystal structure of Na3H3Pd2 (PBE-GGA, the Alexandria database).

Unit cell a=3.691 b=7.439 c=10.929 alpha=90.00 beta=90.00 gamma=104.36
Fractional coordinates of all 16 atoms:
Pd1 0.761 0.521 0.597
Pd2 0.239 0.479 0.097
Pd3 0.239 0.479 0.403
Pd4 0.761 0.521 0.903
H1 0.734 0.467 0.067
H2 0.266 0.533 0.567
H3 0.266 0.533 0.933
H4 0.793 0.585 0.750
H5 0.734 0.467 0.433
H6 0.207 0.415 0.250
Na1 0.618 0.236 0.250
Na2 0.100 0.200 0.901
Na3 0.382 0.764 0.750
Na4 0.900 0.800 0.099
Na5 0.900 0.800 0.401
Na6 0.100 0.200 0.599

- theoretical density (kg/m³) = 3254
- calculated volume (Å³ per cell) = 290.7

---

Arrangement ii

# Na3H3Pd2

An optimized crystal structure of Na3H3Pd2 (PBE-GGA, the Alexandria database).

Unit cell a=8.436 b=5.395 c=10.623 alpha=90.00 beta=90.00 gamma=90.00
Fractional coordinates of all 32 atoms:
H1 0.075 0.181 0.969
H2 0.468 0.778 0.250
H3 0.075 0.181 0.531
H4 0.575 0.319 0.031
H5 0.425 0.681 0.969
H6 0.032 0.278 0.250
H7 0.425 0.681 0.531
H8 0.532 0.222 0.750
H9 0.925 0.819 0.469
H10 0.968 0.722 0.750
H11 0.925 0.819 0.031
H12 0.575 0.319 0.469
Pd1 0.508 0.585 0.120
Pd2 0.508 0.585 0.380
Pd3 0.992 0.085 0.380
Pd4 0.008 0.915 0.620
Pd5 0.992 0.085 0.120
Pd6 0.492 0.415 0.880
Pd7 0.492 0.415 0.620
Pd8 0.008 0.915 0.880
Na1 0.663 0.919 0.574
Na2 0.663 0.919 0.926
Na3 0.340 0.881 0.750
Na4 0.337 0.081 0.074
Na5 0.840 0.619 0.250
Na6 0.163 0.581 0.074
Na7 0.160 0.381 0.750
Na8 0.660 0.119 0.250
Na9 0.337 0.081 0.426
Na10 0.837 0.419 0.926
Na11 0.837 0.419 0.574
Na12 0.163 0.581 0.426

- theoretical density (kg/m³) = 3913
- calculated volume (Å³ per cell) = 483.5

---

Bottom line: arrangement ii, by a margin of 71 meV per atom.

---

Arrangement i

# Na3H4Pd

An optimized crystal structure of Na3H4Pd (PBE-GGA, the Alexandria database).

Unit cell a=4.804 b=5.556 c=7.894 alpha=90.00 beta=90.00 gamma=90.00
Fractional coordinates of all 16 atoms:
Na1 0.522 0.302 0.754
Na2 0.022 0.698 0.746
Na3 0.522 0.302 0.246
Na4 0.527 0.848 0.000
Na5 0.022 0.698 0.254
Na6 0.027 0.152 0.500
H1 0.032 0.244 0.213
H2 0.532 0.756 0.287
H3 0.532 0.756 0.713
H4 0.032 0.244 0.787
H5 0.546 0.077 0.500
H6 0.835 0.492 0.000
H7 0.335 0.508 0.500
H8 0.046 0.923 0.000
Pd1 0.500 0.774 0.500
Pd2 0.000 0.226 0.000

- theoretical density (kg/m³) = 2828
- calculated volume (Å³ per cell) = 210.7

---

Arrangement ii

# Na3H4Pd

An optimized crystal structure of Na3H4Pd (PBE-GGA, the Alexandria database).

Unit cell a=5.737 b=5.737 c=5.737 alpha=90.00 beta=90.00 gamma=90.00
Fractional coordinates of all 8 atoms:
H1 0.176 0.176 0.176
H2 0.824 0.824 0.176
H3 0.824 0.176 0.824
H4 0.176 0.824 0.824
Na1 0.500 0.000 0.000
Na2 0.000 0.500 0.000
Na3 0.000 0.000 0.500
Pd1 0.000 0.000 0.000

- theoretical density (kg/m³) = 1577
- calculated volume (Å³ per cell) = 188.9

---

Bottom line: arrangement i, by a margin of 135 meV per atom.

---

Arrangement i

# Na2H3Pd2

An optimized crystal structure of Na2H3Pd2 (PBE-GGA, the Alexandria database).

Unit cell a=2.837 b=5.852 c=5.529 alpha=85.97 beta=90.39 gamma=104.41
Fractional coordinates of all 7 atoms:
Pd1 0.596 0.187 0.819
Pd2 0.404 0.813 0.181
H1 0.824 0.653 0.294
H2 0.000 0.000 0.000
H3 0.176 0.347 0.706
Na1 0.146 0.286 0.302
Na2 0.854 0.714 0.698

- theoretical density (kg/m³) = 4903
- calculated volume (Å³ per cell) = 88.7

---

Arrangement ii

# Na2H3Pd2

An optimized crystal structure of Na2H3Pd2 (PBE-GGA, the Alexandria database).

Unit cell a=3.729 b=4.884 c=5.944 alpha=118.71 beta=108.28 gamma=90.00
Fractional coordinates of all 7 atoms:
Na1 0.394 0.114 0.789
Na2 0.606 0.886 0.211
H1 0.329 0.532 0.659
H2 0.671 0.468 0.341
H3 0.000 0.500 0.000
Pd1 0.852 0.542 0.704
Pd2 0.148 0.458 0.296

- theoretical density (kg/m³) = 4903
- calculated volume (Å³ per cell) = 88.7

---

Bottom line: arrangement ii, by a margin of 24 meV per atom.

---

Arrangement i

# Na3HPd

An optimized crystal structure of Na3HPd (PBE-GGA, the Alexandria database).

Unit cell a=4.947 b=6.719 c=6.931 alpha=118.99 beta=90.00 gamma=90.00
Fractional coordinates of all 10 atoms:
Pd1 0.257 0.369 0.738
Pd2 0.757 0.631 0.262
Na1 0.257 0.803 0.606
Na2 0.257 0.345 0.174
Na3 0.257 0.829 0.174
Na4 0.757 0.655 0.826
Na5 0.757 0.197 0.394
Na6 0.757 0.171 0.826
H1 0.257 0.231 0.462
H2 0.757 0.769 0.538

- theoretical density (kg/m³) = 2908
- calculated volume (Å³ per cell) = 201.5

---

Arrangement ii

# Na3HPd

An optimized crystal structure of Na3HPd (PBE-GGA, the Alexandria database).

Unit cell a=5.437 b=5.437 c=5.437 alpha=90.00 beta=90.00 gamma=90.00
Fractional coordinates of all 5 atoms:
Na1 0.500 0.000 0.000
Na2 0.000 0.500 0.000
Na3 0.000 0.000 0.500
H1 0.500 0.500 0.500
Pd1 0.000 0.000 0.000

- theoretical density (kg/m³) = 1823
- calculated volume (Å³ per cell) = 160.7

---

Bottom line: arrangement i, by a margin of 408 meV per atom.

---

Arrangement i

# NaH2Pd3

An optimized crystal structure of NaH2Pd3 (PBE-GGA, the Alexandria database).

Unit cell a=5.195 b=5.195 c=2.837 alpha=90.00 beta=90.00 gamma=113.65
Fractional coordinates of all 6 atoms:
Pd1 0.000 0.000 0.000
Pd2 0.000 0.500 0.500
Pd3 0.500 0.000 0.500
Na1 0.500 0.500 0.000
H1 0.786 0.214 0.000
H2 0.214 0.786 0.000

- theoretical density (kg/m³) = 8151
- calculated volume (Å³ per cell) = 70.1

---

Arrangement ii

# NaH2Pd3

An optimized crystal structure of NaH2Pd3 (PBE-GGA, the Alexandria database).

Unit cell a=2.911 b=7.361 c=8.234 alpha=114.95 beta=90.00 gamma=101.41
Fractional coordinates of all 12 atoms:
Pd1 0.740 0.479 0.350
Pd2 0.598 0.197 0.669
Pd3 0.928 0.857 0.666
Pd4 0.402 0.803 0.331
Pd5 0.072 0.143 0.334
Pd6 0.260 0.521 0.650
Na1 0.127 0.255 0.014
Na2 0.873 0.745 0.986
H1 0.496 0.991 0.232
H2 0.504 0.009 0.768
H3 0.182 0.364 0.766
H4 0.818 0.636 0.234

- theoretical density (kg/m³) = 7324
- calculated volume (Å³ per cell) = 156.1

---

Bottom line: arrangement i, by a margin of 28 meV per atom.

---

Arrangement i

# NaHPd2Pt

An optimized crystal structure of NaHPd2Pt (PBE-GGA, the Alexandria database).

Unit cell a=4.219 b=4.219 c=3.816 alpha=90.00 beta=90.00 gamma=90.00
Fractional coordinates of all 5 atoms:
Pd1 0.000 0.500 0.000
Pd2 0.500 0.000 0.000
Na1 0.500 0.500 0.500
H1 0.000 0.000 0.000
Pt1 0.000 0.000 0.500

- theoretical density (kg/m³) = 10560
- calculated volume (Å³ per cell) = 67.9

---

Arrangement ii

# NaHPd2Pt

An optimized crystal structure of NaHPd2Pt (PBE-GGA, the Alexandria database).

Unit cell a=3.994 b=3.994 c=4.152 alpha=90.00 beta=90.00 gamma=90.00
Fractional coordinates of all 5 atoms:
Pd1 0.500 0.000 0.000
Pd2 0.000 0.500 0.000
Pt1 0.500 0.500 0.500
Na1 0.000 0.000 0.500
H1 0.000 0.000 0.000

- theoretical density (kg/m³) = 10829
- calculated volume (Å³ per cell) = 66.2

---

Bottom line: arrangement i, by a margin of 58 meV per atom.